(1)
# TaTi2SiB

A relaxed TaTi2SiB crystal (PBE, the Alexandria database).

## Properties
* total magnetization: 0.0 μB per cell
* calculated density: 4.8 g cm⁻³
* crystal system: tetragonal
* total energy: -6.19 eV per atom
* relative energy among the computed polymorphs: 456.5 meV/atom
* uncorrected formation energy: 1.76 eV/atom

Lattice parameters (Å, degrees): 4.8019 4.8019 4.7721 90.00 90.00 90.00
Space group P4/mmm (No. 123)
Unique sites:
Ta (0.0000, 0.0000, 0.0000)
Ti (0.0000, 0.5000, 0.0000)
Si (0.0000, 0.0000, 0.5000)
B (0.5000, 0.5000, 0.5000)

=====

(2)
# TaTl2SiB

A relaxed TaTl2SiB crystal (PBE, the Alexandria database).

## Properties
* total magnetization: 0.0 μB per cell
* calculated density: 7.1 g cm⁻³
* crystal system: tetragonal
* total energy: -4.16 eV per atom
* uncorrected formation energy: 1.57 eV/atom

Lattice parameters (Å, degrees): 5.4846 5.4846 4.9045 90.00 90.00 90.00
Space group P4/mmm (No. 123)
Unique sites:
Ta (0.0000, 0.0000, 0.0000)
Tl (0.0000, 0.5000, 0.0000)
Si (0.0000, 0.0000, 0.5000)
B (0.5000, 0.5000, 0.5000)

=====

(3)
# TaTlSiB2

A relaxed TaTlSiB2 crystal (PBE, the Alexandria database).

## Properties
* total magnetization: 0.0 μB per cell
* calculated density: 7.5 g cm⁻³
* crystal system: tetragonal
* total energy: -4.18 eV per atom
* uncorrected formation energy: 2.42 eV/atom

Lattice parameters (Å, degrees): 4.1101 4.1101 5.7042 90.00 90.00 90.00
Space group P4/mmm (No. 123)
Unique sites:
Ta (0.0000, 0.0000, 0.0000)
Tl (0.5000, 0.5000, 0.5000)
Si (0.5000, 0.5000, 0.0000)
B (0.0000, 0.5000, 0.5000)

=====

(4)
# TaZnSiB2

A relaxed TaZnSiB2 crystal (PBE, the Alexandria database).

## Properties
* total magnetization: 0.0 μB per cell
* calculated density: 5.4 g cm⁻³
* crystal system: tetragonal
* total energy: -5.06 eV per atom
* uncorrected formation energy: 1.32 eV/atom

Lattice parameters (Å, degrees): 4.3060 4.3060 4.9422 90.00 90.00 90.00
Space group P4/mmm (No. 123)
Unique sites:
Ta (0.0000, 0.0000, 0.0000)
Zn (0.5000, 0.5000, 0.5000)
Si (0.0000, 0.0000, 0.5000)
B (0.0000, 0.5000, 0.0000)

=====

(5)
# Tb5Si2B8

A relaxed Tb5Si2B8 crystal (PBE, the Alexandria database).

## Properties
* total magnetization: 0.0 μB per cell
* calculated density: 7.2 g cm⁻³
* crystal system: tetragonal
* total energy: -6.49 eV per atom
* uncorrected formation energy: -0.67 eV/atom

Lattice parameters (Å, degrees): 7.2595 7.2595 8.1553 90.00 90.00 90.00
Space group P4/mbm (No. 127)
Unique sites:
Tb (0.0000, 0.0000, 0.0000)
Tb (0.1807, 0.3193, 0.2762)
Si (0.1146, 0.6146, 0.0000)
B (0.0000, 0.0000, 0.3393)
B (0.0393, 0.8279, 0.5000)
B (0.0904, 0.5904, 0.5000)

=====

(6)
# Tb2Si3B

A relaxed Tb2Si3B crystal (PBE, the Alexandria database).

## Properties
* total magnetization: 0.0 μB per cell
* calculated density: 6.6 g cm⁻³
* crystal system: orthorhombic
* total energy: -5.92 eV per atom
* uncorrected formation energy: -0.55 eV/atom

Lattice parameters (Å, degrees): 7.6532 8.2933 13.0569 90.00 90.00 90.00
Space group Fmmm (No. 69)
Unique sites:
Tb (0.0000, 0.2446, 0.0000)
Tb (0.2500, 0.2500, 0.2500)
Si (0.0000, 0.0000, 0.1766)
Si (0.2307, 0.0000, 0.4106)
B (0.0000, 0.0000, 0.3331)

=====

(7)
# Tb5Si3B

A relaxed Tb5Si3B crystal (PBE, the Alexandria database).

## Properties
* total magnetization: 0.0 μB per cell
* calculated density: 7.2 g cm⁻³
* crystal system: hexagonal
* total energy: -5.64 eV per atom
* uncorrected formation energy: -0.52 eV/atom

Lattice parameters (Å, degrees): 8.5987 8.5987 6.3806 90.00 90.00 120.00
Space group P6_3/mcm (No. 193)
Unique sites:
Tb (0.0000, 0.2403, 0.2500)
Tb (0.3333, 0.6667, 0.0000)
Si (0.0000, 0.3983, 0.7500)
B (0.0000, 0.0000, 0.0000)

=====

(8)
# Tb2SiB3

A relaxed Tb2SiB3 crystal (PBE, the Alexandria database).

## Properties
* total magnetization: 0.0 μB per cell
* calculated density: 7.6 g cm⁻³
* crystal system: hexagonal
* total energy: -6.36 eV per atom
* uncorrected formation energy: -0.58 eV/atom

Lattice parameters (Å, degrees): 3.4474 3.4474 16.1382 90.00 90.00 120.00
Space group P6_3/mmc (No. 194)
Unique sites:
Tb (0.0000, 0.0000, 0.1163)
Si (0.3333, 0.6667, 0.2500)
B (0.3333, 0.6667, 0.0007)
B (0.3333, 0.6667, 0.7500)

=====

(9)
# Tb2Si2Tc2B

A relaxed Tb2Si2Tc2B crystal (PBE, the Alexandria database).

## Properties
* total magnetization: 0.0 μB per cell
* calculated density: 7.8 g cm⁻³
* crystal system: monoclinic
* total energy: -7.45 eV per atom
* uncorrected formation energy: -0.66 eV/atom

Lattice parameters (Å, degrees): 10.9368 4.0472 6.9777 90.00 126.71 90.00
Space group C2/m (No. 12)
Unique sites:
Tb (0.0746, 0.0000, 0.3059)
Si (0.1396, 0.5000, 0.6835)
Tc (0.2137, 0.5000, 0.0944)
B (0.0000, 0.5000, 0.0000)

=====

(10)
# SiTc2B2

A relaxed SiTc2B2 crystal (PBE, the Alexandria database).

## Properties
* total magnetization: 0.0 μB per cell
* calculated density: 7.8 g cm⁻³
* crystal system: tetragonal
* total energy: -8.09 eV per atom
* uncorrected formation energy: -0.19 eV/atom

Lattice parameters (Å, degrees): 5.9121 5.9121 2.9863 90.00 90.00 90.00
Space group P4/mbm (No. 127)
Unique sites:
Si (0.0000, 0.0000, 0.0000)
Tc (0.2049, 0.2951, 0.5000)
B (0.1009, 0.6009, 0.0000)

=====

(11)
# SiTc8B2

A relaxed SiTc8B2 crystal (PBE, the Alexandria database).

## Properties
* total magnetization: 0.0 μB per cell
* calculated density: 9.5 g cm⁻³
* crystal system: monoclinic
* total energy: -9.35 eV per atom
* relative energy among the computed polymorphs: 32.5 meV/atom
* uncorrected formation energy: -0.11 eV/atom

Lattice parameters (Å, degrees): 16.8080 2.9120 6.0835 90.00 102.73 90.00
Space group C2/m (No. 12)
Unique sites:
Si (0.0000, 0.0000, 0.0000)
Tc (0.0383, 0.5000, 0.7074)
Tc (0.1044, 0.0000, 0.4019)
Tc (0.1633, 0.0000, 0.9423)
Tc (0.2263, 0.5000, 0.3069)
B (0.1695, 0.5000, 0.6579)

=====

(12)
# SiTc3B

A relaxed SiTc3B crystal (PBE, the Alexandria database).

## Properties
* total magnetization: 0.0 μB per cell
* calculated density: 8.2 g cm⁻³
* crystal system: cubic
* total energy: -8.47 eV per atom
* relative energy among the computed polymorphs: 0.0 meV/atom
* uncorrected formation energy: 0.17 eV/atom

Lattice parameters (Å, degrees): 4.0734 4.0734 4.0734 90.00 90.00 90.00
Space group Pm-3m (No. 221)
Unique sites:
Si (0.0000, 0.0000, 0.0000)
Tc (0.0000, 0.5000, 0.5000)
B (0.5000, 0.5000, 0.5000)

=====

Repeat the seventh record exactly.
# Tb5Si3B

A relaxed Tb5Si3B crystal (PBE, the Alexandria database).

## Properties
* total magnetization: 0.0 μB per cell
* calculated density: 7.2 g cm⁻³
* crystal system: hexagonal
* total energy: -5.64 eV per atom
* uncorrected formation energy: -0.52 eV/atom

Lattice parameters (Å, degrees): 8.5987 8.5987 6.3806 90.00 90.00 120.00
Space group P6_3/mcm (No. 193)
Unique sites:
Tb (0.0000, 0.2403, 0.2500)
Tb (0.3333, 0.6667, 0.0000)
Si (0.0000, 0.3983, 0.7500)
B (0.0000, 0.0000, 0.0000)

=====

> Among the records above, which one has the highest uncorrected formation energy?

TaTlSiB2

=====

Repeat the first record exactly.
# TaTi2SiB

A relaxed TaTi2SiB crystal (PBE, the Alexandria database).

## Properties
* total magnetization: 0.0 μB per cell
* calculated density: 4.8 g cm⁻³
* crystal system: tetragonal
* total energy: -6.19 eV per atom
* relative energy among the computed polymorphs: 456.5 meV/atom
* uncorrected formation energy: 1.76 eV/atom

Lattice parameters (Å, degrees): 4.8019 4.8019 4.7721 90.00 90.00 90.00
Space group P4/mmm (No. 123)
Unique sites:
Ta (0.0000, 0.0000, 0.0000)
Ti (0.0000, 0.5000, 0.0000)
Si (0.0000, 0.0000, 0.5000)
B (0.5000, 0.5000, 0.5000)